Computed, not measured: a relaxed BaTb2ScO5 crystal at the GGA-PBE level of DFT.

a = 3.968 Å, b = 5.896 Å, c = 6.754 Å
α = 115.88°, β = 107.08°, γ = 90.00°
Positions (direct):
O (0.000, 0.000, 0.000)
Ba (0.000, 0.500, 0.000)
Tb (0.785, 0.785, 0.571)
O (0.355, 0.621, 0.711)
O (0.355, 0.090, 0.711)
Sc (0.500, 0.000, 0.000)
O (0.645, 0.379, 0.289)
O (0.645, 0.910, 0.289)
Tb (0.215, 0.215, 0.429)

- Fermi-level density of states (states/eV/atom) = 0.24
- calculated density (g/cm³) = 7.2
- calculated total energy (eV/f.u.) = -70.78
- M_tot (Bohr magnetons per cell) = 0.0
- SG = No. 71